A plane-wave DFT calculation with GGA-PBE was carried out for SrCdHg2B after structural relaxation.

Results
- SG = P4/mmm (123)
- spin magnetization (μB per atom) = 0.226
- DOS at the Fermi energy (states/eV per atom) = 0.49
- E (eV per cell) = -4.9

Cell: 5.301 6.457 5.301 Å, 90.00 90.00 90.00°
Each line ends with the local moment (μB).
Atoms (fractional coordinates):
Sr  0.000  0.500  0.000  0.03
B  0.500  0.500  0.500  0.38
Hg  0.000  0.000  0.500  -0.01
Hg  0.500  0.000  0.000  0.01
Cd  0.000  0.000  0.000  -0.03